Record 1
DFT (meta-GGA SCAN) results for a PBEsol-optimized structure of KCu2Rh.

The space group is Pm (No. 6) and the conventional cell measures 2.6343, 4.1573 and 6.9549 Å, with angles of 90.00, 100.87 and 90.00 degrees. Symmetry generates all atoms from K at (0.0000, 0.0000, 0.0000), Cu at (0.2168, 0.0000, 0.4534), Cu at (0.3310, 0.5000, 0.6736) and Rh at (0.6751, 0.5000, 0.3657).

As for the spin magnetization: 0.000 μB/atom. The calculation puts the formation energy at 0.440 eV/atom. The calculation puts the final energy at -0.650 hartree per atom.

Record 2
DFT (meta-GGA SCAN) results for a PBEsol-optimized structure of KCuRh2.

The space group is Fm-3m (No. 225) and the conventional cell measures 6.3148, 6.3148 and 6.3148 Å, with angles of 90.00, 90.00 and 90.00 degrees. Symmetry generates all atoms from K at (0.0000, 0.0000, 0.0000), Cu at (0.0000, 0.0000, 0.5000) and Rh at (0.2500, 0.2500, 0.2500).

As for the spin magnetization: 0.331 μB/atom. The calculation puts the formation energy at 1.034 eV/atom. The calculation puts the final energy at -0.799 hartree per atom.

Record 3
DFT (meta-GGA SCAN) results for a PBEsol-optimized structure of KCu2Ru.

The space group is Pmmm (No. 47) and the conventional cell measures 2.5249, 4.9255 and 5.1317 Å, with angles of 90.00, 90.00 and 90.00 degrees. Symmetry generates all atoms from K at (0.0000, 0.0000, 0.0000), Cu at (0.0000, 0.5000, 0.5000), Cu at (0.5000, 0.5000, 0.0000) and Ru at (0.5000, 0.0000, 0.5000).

As for the spin magnetization: 0.000 μB/atom. The calculation puts the formation energy at 1.153 eV/atom. The calculation puts the final energy at -0.633 hartree per atom.

Record 4
DFT (meta-GGA SCAN) results for a PBEsol-optimized structure of KCuRu2.

The space group is Fm-3m (No. 225) and the conventional cell measures 6.2979, 6.2979 and 6.2979 Å, with angles of 90.00, 90.00 and 90.00 degrees. Symmetry generates all atoms from K at (0.0000, 0.0000, 0.0000), Cu at (0.0000, 0.0000, 0.5000) and Ru at (0.2500, 0.2500, 0.2500).

As for the spin magnetization: 0.962 μB/atom. The calculation puts the formation energy at 1.569 eV/atom. The calculation puts the final energy at -0.798 hartree per atom.